Entry 1:
This record from the Alexandria database describes a crystal of BaFeBr2 relaxed with PBEsol. The functional is SCAN.

Cell lengths 7.5818, 7.5818, 7.5818 Å; angles 90.00, 90.00, 90.00 degrees
Space group Fm-3m (No. 225)
Unique sites:
1 Ba 0.0000 0.0000 0.0000 x4
2 Fe 0.0000 0.0000 0.5000 x4
3 Br 0.2500 0.2500 0.2500 x8

Summary:
- Calculated total energy: -25.040 eV per atom
- Energy above the most stable polymorph in this dataset: 0 meV/atom
- Uncorrected formation energy: -344 kJ/mol of formula units

***

Entry 2:
This record from the Alexandria database describes a crystal of BaFe2Br relaxed with PBEsol. The functional is SCAN.

Cell lengths 3.6970, 3.6970, 6.6670 Å; angles 90.00, 90.00, 90.00 degrees
Space group P4/mmm (No. 123)
Unique sites:
1 Ba 0.0000 0.0000 0.0000 x1
2 Fe 0.5000 0.5000 0.3346 x2
3 Br 0.0000 0.0000 0.5000 x1

Summary:
- Calculated total energy: -23.200 eV per atom
- Energy above the most stable polymorph in this dataset: 374 meV/atom
- Uncorrected formation energy: 238 kJ/mol of formula units

***

Entry 3:
This record from the Alexandria database describes a crystal of BaFe2Br relaxed with PBEsol. The functional is SCAN.

Cell lengths 6.8901, 6.8901, 6.8901 Å; angles 90.00, 90.00, 90.00 degrees
Space group Fm-3m (No. 225)
Unique sites:
1 Ba 0.0000 0.0000 0.0000 x4
2 Fe 0.2500 0.2500 0.2500 x8
3 Br 0.0000 0.0000 0.5000 x4

Summary:
- Calculated total energy: -22.765 eV per atom
- Energy above the most stable polymorph in this dataset: 808 meV/atom
- Uncorrected formation energy: 406 kJ/mol of formula units

***

Entry 4:
This record from the Alexandria database describes a crystal of BaFe2Br relaxed with PBEsol. The functional is SCAN.

Cell lengths 3.4587, 4.8688, 5.6211 Å; angles 90.00, 90.00, 90.00 degrees
Space group Pmmm (No. 47)
Unique sites:
1 Ba 0.0000 0.0000 0.0000 x1
2 Fe 0.0000 0.5000 0.5000 x1
3 Fe 0.5000 0.0000 0.5000 x1
4 Br 0.5000 0.5000 0.0000 x1

Summary:
- Calculated total energy: -23.441 eV per atom
- Energy above the most stable polymorph in this dataset: 133 meV/atom
- Uncorrected formation energy: 145 kJ/mol of formula units

***

Entry 5:
This record from the Alexandria database describes a crystal of BaFe2Br relaxed with PBEsol. The functional is SCAN.

Cell lengths 4.4914, 4.7053, 4.7449 Å; angles 90.00, 90.00, 90.00 degrees
Space group Pmmm (No. 47)
Unique sites:
1 Ba 0.0000 0.0000 0.0000 x1
2 Fe 0.5000 0.5000 0.2260 x2
3 Br 0.5000 0.0000 0.5000 x1

Summary:
- Calculated total energy: -23.573 eV per atom
- Energy above the most stable polymorph in this dataset: 0 meV/atom
- Uncorrected formation energy: 94 kJ/mol of formula units

***

Entry 6:
This record from the Alexandria database describes a crystal of BaFe2Br relaxed with PBEsol. The functional is SCAN.

Cell lengths 5.8834, 11.2750, 3.6436 Å; angles 90.00, 127.42, 90.00 degrees
Space group C2/m (No. 12)
Unique sites:
1 Ba 0.0000 0.0000 0.0000 x2
2 Fe 0.2500 0.2500 0.5000 x4
3 Br 0.0000 0.5000 0.0000 x2

Summary:
- Calculated total energy: -23.467 eV per atom
- Energy above the most stable polymorph in this dataset: 107 meV/atom
- Uncorrected formation energy: 135 kJ/mol of formula units